Record 1
This record from Alexandria via LeMat-Bulk describes a geometry-optimized Ca3VRe structure. The functional is PBE-GGA.

The value obtained for the polymorph energy (0 for the lowest one) is 0 meV per atom.

Unit cell a=5.490 b=5.490 c=5.490 alpha=90.00 beta=90.00 gamma=90.00
Fractional coordinates of all 5 atoms:
Re 0.000 0.000 0.000
Ca 0.000 0.500 0.000
Ca 0.000 0.000 0.500
Ca 0.500 0.000 0.000
V 0.500 0.500 0.500



Record 2
This record from Alexandria via LeMat-Bulk describes a geometry-optimized Mg2PtO structure. The functional is PBE-GGA.

Its formation energy from raw total energies is -1.34 eV per atom.

Unit cell a=5.895 b=5.895 c=5.554 alpha=57.94 beta=57.94 gamma=90.00
Fractional coordinates of all 8 atoms:
Mg 0.531 0.125 0.250
Mg 0.219 0.625 0.250
Mg 0.375 0.469 0.750
Mg 0.875 0.781 0.750
O 0.500 0.500 0.000
O 0.250 0.750 0.500
Pt 0.000 0.000 0.000
Pt 0.750 0.250 0.500



Record 3
This record from Alexandria via LeMat-Bulk describes a geometry-optimized Li6Cd2Pd structure. The functional is PBE-GGA.

Unit cell a=4.591 b=4.591 c=8.291 alpha=85.74 beta=85.74 gamma=61.67
Fractional coordinates of all 9 atoms:
Li 0.006 0.006 0.823
Li 0.321 0.321 0.284
Li 0.679 0.679 0.716
Li 0.338 0.338 0.595
Li 0.662 0.662 0.405
Li 0.994 0.994 0.177
Cd 0.336 0.336 0.935
Cd 0.664 0.664 0.065
Pd 0.000 0.000 0.500



It is found that the calculated volume values, taken in the order of the records, are 166 128 153 Å³/cell.
It is found that the calculated total energy values, taken in the order of the records, are -21.390 -39.061 -20.562 eV/cell.